This record from Alexandria describes KReOs after structural relaxation. The functional is GGA-PBE.

Geometry as extended XYZ:
```
3
Lattice="5.0312 0.0000 0.0000 -2.5156 4.3571 0.0000 0.0000 0.0000 2.5310" Properties=species:S:1:pos:R:3 pbc="T T T"
K 0.0000 0.0000 0.0000
Re 0.0000 2.9047 1.2655
Os 2.5156 1.4524 1.2655
```

Calculated values
Its energy above the most stable polymorph in this dataset is 18.63 kcal/mol of atoms. The value obtained for the total energy is -6.5694 eV/atom. Its magnetic moment is 0.0000 μB/atom. The formation energy comes out at 1.689 eV/atom.